[1]
# PBE-GGA Ca4TlHg2Au, relaxed
# * Fermi-level density of states: 0.640 states/eV/atom
# * magnetic moment: 0.00 μB/f.u.
# * V: 26.94 A^3/atom
# * energy of formation: -0.580 eV per atom
# * raw total energy: -18.89 eV per cell
# * SG: No. 166
data_Ca4TlHg2Au
_chemical_formula_sum 'Ca4 Tl1 Hg2 Au1'
_cell_length_a 5.332
_cell_length_b 5.332
_cell_length_c 9.278
_cell_angle_alpha 73.30
_cell_angle_beta 73.30
_cell_angle_gamma 60.00
_symmetry_space_group_name_H-M 'P 1'
_symmetry_Int_Tables_number 1
_symmetry_space_group_name_Hall 'P 1'
loop_
_atom_site_label
_atom_site_type_symbol
_atom_site_fract_x
_atom_site_fract_y
_atom_site_fract_z
Ca1 Ca 0.380 0.380 0.861
Ca2 Ca 0.871 0.871 0.386
Ca3 Ca 0.129 0.129 0.614
Ca4 Ca 0.620 0.620 0.139
Tl1 Tl 0.000 0.000 0.000
Hg1 Hg 0.746 0.746 0.761
Hg2 Hg 0.254 0.254 0.239
Au1 Au 0.500 0.500 0.500

[2]
# PBE-GGA Cd2CoOs, relaxed
# * Fermi-level density of states: 1.476 states/eV/atom
# * magnetic moment: 1.65 μB/f.u.
# * V: 16.41 A^3/atom
# * energy of formation: 0.623 eV per atom
# * raw total energy: -17.67 eV per cell
# * SG: No. 65
data_Cd2CoOs
_chemical_formula_sum 'Cd2 Co1 Os1'
_cell_length_a 5.090
_cell_length_b 5.090
_cell_length_c 2.758
_cell_angle_alpha 90.00
_cell_angle_beta 90.00
_cell_angle_gamma 113.25
_symmetry_space_group_name_H-M 'P 1'
_symmetry_Int_Tables_number 1
_symmetry_space_group_name_Hall 'P 1'
loop_
_atom_site_label
_atom_site_type_symbol
_atom_site_fract_x
_atom_site_fract_y
_atom_site_fract_z
Cd1 Cd 0.000 0.000 0.000
Cd2 Cd 0.500 0.500 0.000
Co1 Co 0.500 0.000 0.500
Os1 Os 0.000 0.500 0.500

[3]
# PBE-GGA AlSbH, relaxed
# * Fermi-level density of states: 0.246 states/eV/atom
# * magnetic moment: 0.00 μB/f.u.
# * V: 16.93 A^3/atom
# * raw total energy: -20.48 eV per cell
# * SG: No. 129
data_AlSbH
_chemical_formula_sum 'Al2 Sb2 H2'
_cell_length_a 4.635
_cell_length_b 4.635
_cell_length_c 4.728
_cell_angle_alpha 90.00
_cell_angle_beta 90.00
_cell_angle_gamma 90.00
_symmetry_space_group_name_H-M 'P 1'
_symmetry_Int_Tables_number 1
_symmetry_space_group_name_Hall 'P 1'
loop_
_atom_site_label
_atom_site_type_symbol
_atom_site_fract_x
_atom_site_fract_y
_atom_site_fract_z
Sb1 Sb 0.000 0.500 0.164
Sb2 Sb 0.500 0.000 0.836
Al1 Al 0.000 0.000 0.500
Al2 Al 0.500 0.500 0.500
H1 H 0.000 0.500 0.732
H2 H 0.500 0.000 0.268

[4]
# PBE-GGA SnBi2Se4, relaxed
# * magnetic moment: 0.00 μB/f.u.
# * V: 29.68 A^3/atom
# * formation energy from raw total energies: -0.371 eV per atom
# * raw total energy: -56.59 eV per cell
# * SG: No. 63
data_SnBi2Se4
_chemical_formula_sum 'Sn2 Bi4 Se8'
_cell_length_a 4.173
_cell_length_b 7.252
_cell_length_c 14.338
_cell_angle_alpha 90.00
_cell_angle_beta 90.00
_cell_angle_gamma 106.72
_symmetry_space_group_name_H-M 'P 1'
_symmetry_Int_Tables_number 1
_symmetry_space_group_name_Hall 'P 1'
loop_
_atom_site_label
_atom_site_type_symbol
_atom_site_fract_x
_atom_site_fract_y
_atom_site_fract_z
Sn1 Sn 0.594 0.189 0.750
Sn2 Sn 0.406 0.811 0.250
Bi1 Bi 0.140 0.279 0.436
Bi2 Bi 0.860 0.721 0.936
Bi3 Bi 0.140 0.279 0.064
Bi4 Bi 0.860 0.721 0.564
Se1 Se 0.775 0.550 0.121
Se2 Se 0.775 0.550 0.379
Se3 Se 0.225 0.450 0.879
Se4 Se 0.225 0.450 0.621
Se5 Se 0.958 0.916 0.750
Se6 Se 0.042 0.084 0.250
Se7 Se 0.500 0.000 0.000
Se8 Se 0.500 0.000 0.500

[5]
# PBE-GGA KCdF3, relaxed
# * Fermi-level density of states: 0.000 states/eV/atom
# * magnetic moment: 0.00 μB/f.u.
# * V: 17.83 A^3/atom
# * formation energy from raw total energies: -2.439 eV per atom
# * raw total energy: -19.82 eV per cell
# * SG: No. 221
data_KCdF3
_chemical_formula_sum 'K1 Cd1 F3'
_cell_length_a 4.467
_cell_length_b 4.467
_cell_length_c 4.467
_cell_angle_alpha 90.04
_cell_angle_beta 90.00
_cell_angle_gamma 90.00
_symmetry_space_group_name_H-M 'P 1'
_symmetry_Int_Tables_number 1
_symmetry_space_group_name_Hall 'P 1'
loop_
_atom_site_label
_atom_site_type_symbol
_atom_site_fract_x
_atom_site_fract_y
_atom_site_fract_z
K1 K 0.500 0.000 0.000
F1 F 0.000 0.500 0.000
F2 F 0.000 0.000 0.500
F3 F 0.500 0.500 0.500
Cd1 Cd 0.000 0.500 0.500

[6]
# PBE-GGA CaMg2Zn2Ag, relaxed
# * Fermi-level density of states: 0.487 states/eV/atom
# * magnetic moment: 0.00 μB/f.u.
# * V: 25.28 A^3/atom
# * energy of formation: 0.091 eV per atom
# * raw total energy: -10.04 eV per cell
# * SG: No. 139
data_CaMg2Zn2Ag
_chemical_formula_sum 'Ca1 Mg2 Zn2 Ag1'
_cell_length_a 5.231
_cell_length_b 5.231
_cell_length_c 6.664
_cell_angle_alpha 113.11
_cell_angle_beta 113.11
_cell_angle_gamma 90.00
_symmetry_space_group_name_H-M 'P 1'
_symmetry_Int_Tables_number 1
_symmetry_space_group_name_Hall 'P 1'
loop_
_atom_site_label
_atom_site_type_symbol
_atom_site_fract_x
_atom_site_fract_y
_atom_site_fract_z
Ca1 Ca 0.500 0.500 0.000
Mg1 Mg 0.250 0.750 0.500
Mg2 Mg 0.750 0.250 0.500
Zn1 Zn 0.772 0.772 0.543
Zn2 Zn 0.228 0.228 0.457
Ag1 Ag 0.000 0.000 0.000